An optimized crystal structure of RbMn3F9, computed with PBE+U.

Cell and atoms, written as POSCAR:
```
RbMn3F9
1.0
7.672 0.000 0.000
-3.836 6.644 0.000
0.000 0.000 3.958
Rb Mn F
1 3 9
Direct
0.000 0.000 0.000
0.000 0.500 0.500
0.500 0.000 0.500
0.500 0.500 0.500
0.000 0.500 0.000
0.204 0.408 0.500
0.204 0.796 0.500
0.408 0.204 0.500
0.500 0.000 0.000
0.500 0.500 0.000
0.592 0.796 0.500
0.796 0.204 0.500
0.796 0.592 0.500
```

Results
**Calculated total energy**: -5.698 eV/atom
**Symmetry**: No. 191